Here is a geometry-optimized InSn2Bi structure from the Alexandria database. Energies are from GGA-PBE.

Geometry as POSCAR:
```
InSn2Bi
1.0
-2.550 2.697 3.095
-3.735 -1.933 2.380
1.854 -1.494 6.603
Sn In Bi
2 1 1
Direct
0.090 0.090 0.729
0.254 0.254 0.239
0.490 0.490 0.530
0.666 0.666 0.001
```

Calculated values
The energy above the most stable polymorph in this dataset comes out at 4.70 kJ per mole of atoms. As for the calculated formation energy: 0.09 eV per atom. For the raw total energy, the calculation gives -3.57 eV/atom.